[1]
Here is a PBEsol-optimized structure of ScRhSe2 from the Alexandria database. Energies are from SCAN.

crystal system = tetragonal
total moment = 0.00 Bohr magnetons per cell
ρ = 7.56 g cm⁻³
calculated total energy = -90.437 eV/f.u.

Unit cell a=3.249 b=3.249 c=6.362 alpha=90.00 beta=90.00 gamma=90.00
Positions (direct):
Sc  0.000  0.000  0.000
Rh  0.000  0.000  0.500
Se  0.500  0.500  0.247
Se  0.500  0.500  0.753

=====

[2]
Here is a PBEsol-optimized structure of ScRhSe2 from the Alexandria database. Energies are from SCAN.

crystal system = tetragonal
total moment = 0.00 Bohr magnetons per cell
ρ = 7.17 g cm⁻³
calculated total energy = -92.486 eV/f.u.

Unit cell a=3.619 b=3.619 c=5.406 alpha=90.00 beta=90.00 gamma=90.00
Positions (direct):
Sc  0.000  0.000  0.000
Rh  0.500  0.500  0.633
Se  0.000  0.000  0.534
Se  0.500  0.500  0.127